[1]
Density functional theory data (PBE) for a relaxed structure of ScZn4Cu.

Calculated values
uncorrected energy	-33.493	eV per cell
formation energy from the elements	-0.204	eV per atom
distance to the lowest polymorph of the same formula	0.04	eV/f.u.
calculated volume	189	Å³/cell

Cell: 4.491 7.457 5.693 Å, 90.00 97.23 90.00°
Space group Cm (No. 8)
One atom of each set of equivalent atoms:
1 Sc 0.000 0.000 0.000 x2
2 Zn 0.049 0.329 0.266 x4
3 Zn 0.451 0.171 0.735 x4
4 Cu 0.002 0.000 0.499 x2

[2]
Density functional theory data (PBE) for a relaxed structure of Sc2ZnCu.

Calculated values
uncorrected energy	-36.938	eV per cell
formation energy from the elements	-0.109	eV per atom
calculated volume	145	Å³/cell

Cell: 4.017 4.017 8.966 Å, 90.00 90.00 90.00°
Space group I-4m2 (No. 119)
One atom of each set of equivalent atoms:
1 Sc 0.000 0.000 0.000 x2
2 Sc 0.000 0.500 0.250 x2
3 Zn 0.000 0.500 0.750 x2
4 Cu 0.000 0.000 0.500 x2

[3]
Density functional theory data (PBE) for a relaxed structure of Sc2ZnCu6.

Calculated values
uncorrected energy	-40.051	eV per cell
formation energy from the elements	-0.171	eV per atom
calculated volume	133	Å³/cell

Cell: 5.2523 5.2523 5.5736 Å, 90.00 90.00 120.00°
Space group P-3m1 (No. 164)
One atom of each set of equivalent atoms:
1 Sc 0.3333 0.6667 0.3539 x2
2 Zn 0.0000 0.0000 0.5000 x1
3 Cu 0.1774 0.3548 0.8337 x6

[4]
Density functional theory data (PBE) for a relaxed structure of Sc2ZnCu2.

Calculated values
uncorrected energy	-44.632	eV per cell
formation energy from the elements	-0.037	eV per atom
calculated volume	186	Å³/cell

Cell: 5.090 5.090 7.175 Å, 90.00 90.00 90.00°
Space group I4/mmm (No. 139)
One atom of each set of equivalent atoms:
1 Sc 0.000 0.500 0.250 x4
2 Zn 0.000 0.000 0.000 x2
3 Cu 0.000 0.000 0.347 x4

[5]
Density functional theory data (PBE) for a relaxed structure of Sc3ZnCu.

Calculated values
uncorrected energy	-102.080	eV per cell
formation energy from the elements	-0.231	eV per atom
distance to the lowest polymorph of the same formula	0.00	eV/f.u.
calculated volume	391	Å³/cell

Cell: 4.639 18.186 4.637 Å, 90.00 90.00 90.00°
Space group Cmcm (No. 63)
One atom of each set of equivalent atoms:
1 Sc 0.000 0.065 0.250 x4
2 Sc 0.000 0.249 0.250 x4
3 Sc 0.000 0.433 0.250 x4
4 Zn 0.000 0.158 0.750 x4
5 Cu 0.000 0.339 0.750 x4

[6]
Density functional theory data (PBE) for a relaxed structure of Sc4ZnCu2.

Calculated values
uncorrected energy	-107.970	eV per cell
formation energy from the elements	-0.171	eV per atom
distance to the lowest polymorph of the same formula	0.00	eV/f.u.
calculated volume	409	Å³/cell

Cell: 4.6091 4.6091 22.2097 Å, 90.00 90.00 120.00°
Space group R-3m (No. 166, hexagonal axes)
One atom of each set of equivalent atoms:
1 Sc 0.0000 0.0000 0.1177 x6
2 Sc 0.0000 0.0000 0.3706 x6
3 Zn 0.0000 0.0000 0.5000 x3
4 Cu 0.0000 0.0000 0.2446 x6

- Which of these has the highest uncorrected energy?
  ScZn4Cu